Entry A
This record from Alexandria describes crystalline PmErAlGe at its relaxed geometry. The functional is PBE.

Properties
Symmetry   Amm2

Cell and atoms, written as POSCAR:
```
PmErAlGe
1.0
-2.7749 -0.4468 -3.4137
-2.0276 -2.8644 2.0232
-1.8836 4.0622 3.8634
Ge Er Al Pm
1 1 1 1
Direct
0.5757 0.5000 0.1514
0.8592 0.5000 0.7184
0.4242 0.0000 0.8484
0.1409 0.0000 0.2818
```

Entry B
This record from Alexandria describes crystalline PmErAlGe at its relaxed geometry. The functional is PBE.

Properties
Symmetry   F-43m

Cell and atoms, written as POSCAR:
```
PmErAlGe
1.0
-3.4358 2.1235 -3.1685
-5.0203 -0.6821 0.8279
-2.8927 3.9243 1.6081
Pm Al Ge Er
1 1 1 1
Direct
0.5000 0.5000 0.5000
0.7500 0.7500 0.7500
0.2500 0.2500 0.2500
0.0000 0.0000 0.0000
```

Short version: entry A, entry B, most stable first.